11
Lattice="5.5398 -5.3145 0.0000 5.5398 5.3145 0.0000 -1.8113 0.0000 6.7374" Properties=species:S:1:pos:R:3 comment="AlSb2Cl8 PBE-GGA optimized geometry" e_form_raw_mev_per_atom=-893 spacegroup="No. 12" final_energy_ev_per_atom=-3.3254 m_tot_mub_per_atom=0.09 pbc="T T T"
Al 0.0000 0.0000 0.0000
Sb 0.8481 0.0000 3.6632
Sb 8.4201 0.0000 3.0742
Cl 4.5889 3.6804 1.3238
Cl 4.6793 3.6804 5.4136
Cl 2.0360 0.0000 1.3804
Cl 2.8317 0.0000 4.9275
Cl 6.4365 0.0000 1.8099
Cl 7.2322 0.0000 5.3569
Cl 4.5889 -3.6804 1.3238
Cl 4.6793 -3.6804 5.4136


8
Lattice="4.9521 0.0000 0.0000 0.0000 4.9740 0.0000 0.0000 0.0000 7.8082" Properties=species:S:1:pos:R:3 comment="AlSb2Cl PBE-GGA optimized geometry" e_form_raw_mev_per_atom=-70 spacegroup="No. 65" final_energy_ev_per_atom=-3.5284 m_tot_mub_per_atom=0.00 pbc="T T T"
Al 0.0000 0.0000 0.0000
Al 2.4761 2.4870 0.0000
Sb 0.0000 2.4870 1.6301
Sb 0.0000 2.4870 6.1782
Sb 2.4761 0.0000 1.6301
Sb 2.4761 0.0000 6.1782
Cl 0.0000 0.0000 3.9041
Cl 2.4761 2.4870 3.9041


8
Lattice="6.1055 0.0000 0.0000 0.0000 8.3484 0.0000 -3.0334 0.0000 4.1967" Properties=species:S:1:pos:R:3 comment="AlSb2Cl PBE-GGA optimized geometry" e_form_raw_mev_per_atom=37 spacegroup="No. 12" final_energy_ev_per_atom=-3.4214 m_tot_mub_per_atom=0.00 pbc="T T T"
Al 0.0000 0.0000 0.0000
Al 3.0528 4.1742 0.0000
Sb 0.0097 2.0871 2.0984
Sb 0.0097 6.2613 2.0984
Sb 3.0625 2.0871 2.0984
Sb 3.0625 6.2613 2.0984
Cl 0.0000 4.1742 0.0000
Cl 3.0528 0.0000 0.0000


5
Lattice="5.2940 0.0000 0.0000 0.0000 5.2940 0.0000 0.0000 0.0000 5.2940" Properties=species:S:1:pos:R:3 comment="AlSb3Cl PBE-GGA optimized geometry" e_form_raw_mev_per_atom=413 spacegroup="No. 221" final_energy_ev_per_atom=-3.1782 m_tot_mub_per_atom=0.00 pbc="T T T"
Al 0.0000 0.0000 0.0000
Sb 0.0000 0.0000 2.6470
Sb 0.0000 2.6470 0.0000
Sb 2.6470 0.0000 0.0000
Cl 2.6470 2.6470 2.6470


6
Lattice="0.0000 4.1906 4.1906 4.1906 0.0000 4.1906 4.1906 4.1906 0.0000" Properties=species:S:1:pos:R:3 comment="AlSbCl4 PBE-GGA optimized geometry" e_form_raw_mev_per_atom=510 spacegroup="No. 216" final_energy_ev_per_atom=-2.0317 m_tot_mub_per_atom=0.04 pbc="T T T"
Al 0.0000 0.0000 0.0000
Sb 2.0953 2.0953 2.0953
Cl 5.2370 3.1443 3.1443
Cl 3.1443 5.2370 3.1443
Cl 3.1443 3.1443 5.2370
Cl 5.2370 5.2370 5.2370


16
Lattice="7.1540 0.0000 0.0000 0.0000 7.1540 0.0000 0.0000 0.0000 7.1540" Properties=species:S:1:pos:R:3 comment="AlSb2Cl PBE-GGA optimized geometry" e_form_raw_mev_per_atom=66 spacegroup="No. 225" final_energy_ev_per_atom=-3.3925 m_tot_mub_per_atom=0.00 pbc="T T T"
Al 0.0000 0.0000 0.0000
Al 0.0000 3.5770 3.5770
Al 3.5770 0.0000 3.5770
Al 3.5770 3.5770 0.0000
Sb 1.7885 1.7885 1.7885
Sb 1.7885 1.7885 5.3655
Sb 1.7885 5.3655 1.7885
Sb 1.7885 5.3655 5.3655
Sb 5.3655 1.7885 1.7885
Sb 5.3655 1.7885 5.3655
Sb 5.3655 5.3655 1.7885
Sb 5.3655 5.3655 5.3655
Cl 0.0000 0.0000 3.5770
Cl 0.0000 3.5770 0.0000
Cl 3.5770 0.0000 0.0000
Cl 3.5770 3.5770 3.5770